1.
Compound: La4AlTl
Source: Alexandria via LeMat-Bulk
Functional: PBE-GGA
Structure: optimized geometry

a b c (Å): 6.489 6.489 6.489
angles (deg): 60.00 60.00 60.00
Fractional positions:
La1 0.374 0.878 0.374
La2 0.878 0.374 0.374
La3 0.374 0.374 0.878
La4 0.374 0.374 0.374
Al1 0.000 0.000 0.000
Tl1 0.750 0.750 0.750

Properties
- Magnetic moment: 0.011 μB per formula unit
- Symmetry: F-43m, No. 216
- E above lowest polymorph: 471 meV per atom
- Formation energy: 0.215 eV per atom
- V: 32.20 Å³/atom

=====

2.
Compound: LaAl2Tl2
Source: Alexandria via LeMat-Bulk
Functional: PBE-GGA
Structure: optimized geometry

a b c (Å): 4.797 4.797 6.532
angles (deg): 68.45 68.45 90.00
Fractional positions:
Tl1 0.750 0.250 0.500
Tl2 0.250 0.750 0.500
Al1 0.388 0.388 0.225
Al2 0.612 0.612 0.775
La1 0.000 0.000 0.000

Properties
- Magnetic moment: 0.000 μB per formula unit
- Symmetry: I4/mmm, No. 139
- E above lowest polymorph: 0 meV per atom
- Formation energy: -0.123 eV per atom
- V: 25.69 Å³/atom

=====

3.
Compound: La2AlTl2
Source: Alexandria via LeMat-Bulk
Functional: PBE-GGA
Structure: optimized geometry

a b c (Å): 7.713 7.713 4.987
angles (deg): 90.00 90.00 90.00
Fractional positions:
Tl1 0.361 0.861 0.000
Tl2 0.861 0.639 0.000
Tl3 0.639 0.139 0.000
Tl4 0.139 0.361 0.000
Al1 0.000 0.000 0.000
Al2 0.500 0.500 0.000
La1 0.169 0.669 0.500
La2 0.669 0.831 0.500
La3 0.831 0.331 0.500
La4 0.331 0.169 0.500

Properties
- Magnetic moment: 0.000 μB per formula unit
- Symmetry: P4/mbm, No. 127
- E above lowest polymorph: 0 meV per atom
- Formation energy: -0.314 eV per atom
- V: 29.67 Å³/atom